TbGe2Pt3 | GGA-PBE | optimized geometry

The structure in CIF format:
```
data_TbGe2Pt3
_chemical_formula_sum 'Tb2 Ge4 Pt6'
_space_group_name_H-M_alt 'I m m m'
_space_group_IT_number 71
_space_group_name_Hall '-I 2 2'
_cell_length_a 4.434
_cell_length_b 4.569
_cell_length_c 11.960
_cell_angle_alpha 90.00
_cell_angle_beta 90.00
_cell_angle_gamma 90.00
loop_
_atom_site_label
_atom_site_fract_x
_atom_site_fract_y
_atom_site_fract_z
Tb1 0.000 0.000 0.000
Ge1 0.000 0.000 0.274
Pt1 0.000 0.000 0.500
Pt2 0.000 0.500 0.348
```

**Formation energy**: -675 meV/atom